VASP calculation (PBE) on LaSi4Ir after structural relaxation.

```
data_LaSi4Ir
_cell_length_a 7.442
_cell_length_b 7.442
_cell_length_c 7.442
_cell_angle_alpha 90.00
_cell_angle_beta 90.00
_cell_angle_gamma 90.00
_symmetry_space_group_name_H-M 'F -4 3 m'
_symmetry_Int_Tables_number 216
_symmetry_space_group_name_Hall 'F -4 2 3'
loop_
_atom_site_label
_atom_site_type_symbol
_atom_site_fract_x
_atom_site_fract_y
_atom_site_fract_z
La1 La 0.000 0.000 0.000
Si1 Si 0.123 0.123 0.623
Ir1 Ir 0.250 0.250 0.250
```

The total magnetization comes out at 0.0 μB/cell. The value obtained for the formation energy (no corrections) is 151 meV/atom. The calculation puts the volume at 17.2 Å³/atom.

VASP calculation (PBE) on LaSiIr3 after structural relaxation.

```
data_LaSiIr3
_cell_length_a 4.943
_cell_length_b 4.943
_cell_length_c 4.943
_cell_angle_alpha 90.00
_cell_angle_beta 90.00
_cell_angle_gamma 90.00
_symmetry_space_group_name_H-M 'P m -3 m'
_symmetry_Int_Tables_number 221
_symmetry_space_group_name_Hall '-P 4 2 3'
loop_
_atom_site_label
_atom_site_type_symbol
_atom_site_fract_x
_atom_site_fract_y
_atom_site_fract_z
La1 La 0.000 0.000 0.000
Si1 Si 0.500 0.500 0.500
Ir1 Ir 0.000 0.000 0.500
```

The total magnetization comes out at 0.0 μB/cell. The calculation puts the energy relative to the lowest polymorph listed for this composition at 1157 kJ/mol of formula units. The value obtained for the formation energy (no corrections) is 2098 meV/atom. The calculation puts the volume at 24.1 Å³/atom.

VASP calculation (PBE) on LaSi7Ir3 after structural relaxation.

```
data_LaSi7Ir3
_cell_length_a 7.7113
_cell_length_b 7.7113
_cell_length_c 20.4226
_cell_angle_alpha 90.00
_cell_angle_beta 90.00
_cell_angle_gamma 120.00
_symmetry_space_group_name_H-M 'R -3 c'
_symmetry_Int_Tables_number 167
_symmetry_space_group_name_Hall '-R 3 2"c'
loop_
_atom_site_label
_atom_site_type_symbol
_atom_site_fract_x
_atom_site_fract_y
_atom_site_fract_z
La1 La 0.0000 0.0000 0.0000
Si1 Si 0.0000 0.0000 0.2500
Si2 Si 0.0115 0.2008 0.1377
Ir1 Ir 0.0000 0.3167 0.2500
```

The total magnetization comes out at 0.0 μB/cell. The value obtained for the formation energy (no corrections) is -687 meV/atom. The calculation puts the volume at 15.9 Å³/atom.

VASP calculation (PBE) on LaSi2Ir after structural relaxation.

```
data_LaSi2Ir
_cell_length_a 7.183
_cell_length_b 4.123
_cell_length_c 6.004
_cell_angle_alpha 90.00
_cell_angle_beta 113.60
_cell_angle_gamma 90.00
_symmetry_space_group_name_H-M 'C 1 m 1'
_symmetry_Int_Tables_number 8
loop_
_symmetry_equiv_pos_as_xyz
'x,y,z'
'x,-y,z'
'x+1/2,y+1/2,z'
'x+1/2,-y+1/2,z'
loop_
_atom_site_label
_atom_site_type_symbol
_atom_site_fract_x
_atom_site_fract_y
_atom_site_fract_z
La1 La 0.000 0.000 0.000
Si1 Si 0.201 0.000 0.608
Si2 Si 0.453 0.000 0.359
Ir1 Ir 0.314 0.500 0.443
```

The total magnetization comes out at 0.0 μB/cell. The value obtained for the formation energy (no corrections) is -800 meV/atom. The calculation puts the volume at 20.4 Å³/atom.